# 1
Compound: Pm6Ho2Tl
Source: Alexandria
Functional: PBE-GGA
Structure: optimized geometry

Properties
The total energy comes out at -4.457 eV per atom. The energy of formation from the pure elements comes out at -0.08 eV/f.u. The polymorph energy (0 for the lowest one) is 68 meV/atom. As for the magnetization: 0.00 μB per formula unit.

abc: 20.808 9.210 6.387
angles: 90.00 107.80 90.00
Space group C2/c (No. 15)
Symmetry-distinct sites (fractional):
Pm  0.079  0.072  0.444 x8
Pm  0.080  0.427  0.219 x8
Pm  0.169  0.250  0.919 x8
Ho  0.250  0.077  0.419 x8
Tl  0.000  0.251  0.750 x4

# 2
Compound: RbHf2Ir
Source: Alexandria
Functional: PBE-GGA
Structure: optimized geometry

Properties
The total energy comes out at -6.789 eV per atom. The energy of formation from the pure elements comes out at 2.58 eV/f.u. The polymorph energy (0 for the lowest one) is 0 meV/atom. As for the magnetization: 0.00 μB per formula unit.

abc: 6.938 6.938 6.938
angles: 90.00 90.00 90.00
Space group Fm-3m (No. 225)
Symmetry-distinct sites (fractional):
Rb  0.000  0.000  0.000 x4
Hf  0.250  0.250  0.250 x8
Ir  0.000  0.000  0.500 x4

# 3
Compound: NaSb2TeOs
Source: Alexandria
Functional: PBE-GGA
Structure: optimized geometry

Properties
As for the raw formation energy: 1.7716 eV/atom. The total energy comes out at -3.015 eV per atom. The polymorph energy (0 for the lowest one) is 1429 meV/atom. As for the magnetization: 2.42 μB per formula unit.

abc: 5.261 5.261 5.201
angles: 90.00 90.00 90.00
Space group P4/mmm (No. 123)
Symmetry-distinct sites (fractional):
Na  0.000  0.000  0.000 x1
Sb  0.000  0.500  0.000 x2
Te  0.000  0.000  0.500 x1
Os  0.500  0.500  0.500 x1

# 4
Compound: YTcHg2
Source: Alexandria
Functional: PBE-GGA
Structure: optimized geometry

Properties
The total energy comes out at -3.947 eV per atom. The energy of formation from the pure elements comes out at 1.65 eV/f.u. The polymorph energy (0 for the lowest one) is 350 meV/atom. As for the magnetization: 1.73 μB per formula unit.

abc: 3.2136 3.2136 29.3231
angles: 90.00 90.00 120.00
Space group R-3m (No. 166, hexagonal axes)
Symmetry-distinct sites (fractional):
Y  0.0000  0.0000  0.0000 x3
Tc  0.0000  0.0000  0.5000 x3
Hg  0.0000  0.0000  0.2436 x6

# 5
Compound: Cr2NiIr
Source: Alexandria
Functional: PBE-GGA
Structure: optimized geometry

Properties
The total energy comes out at -8.408 eV per atom. The energy of formation from the pure elements comes out at 0.26 eV/f.u. As for the magnetization: 0.47 μB per formula unit.

abc: 5.820 5.820 5.820
angles: 90.00 90.00 90.00
Space group F-43m (No. 216)
Symmetry-distinct sites (fractional):
Cr  0.000  0.000  0.000 x4
Cr  0.250  0.250  0.250 x4
Ni  0.000  0.000  0.500 x4
Ir  0.250  0.250  0.750 x4

# 6
Compound: ReMo2Os
Source: Alexandria
Functional: PBE-GGA
Structure: optimized geometry

Properties
The total energy comes out at -11.197 eV per atom. The energy of formation from the pure elements comes out at 0.55 eV/f.u. As for the magnetization: 0.00 μB per formula unit.

abc: 2.753 2.753 8.204
angles: 90.00 90.00 90.00
Space group P4mm (No. 99)
Symmetry-distinct sites (fractional):
Re  0.000  0.000  0.000 x1
Mo  0.000  0.000  0.531 x1
Mo  0.500  0.500  0.260 x1
Os  0.500  0.500  0.777 x1

# 7
Compound: CdCo2Ge
Source: Alexandria
Functional: PBE-GGA
Structure: optimized geometry

Properties
The total energy comes out at -4.514 eV per atom. The energy of formation from the pure elements comes out at 1.69 eV/f.u. As for the magnetization: 0.76 μB per formula unit.

abc: 6.722 6.722 5.425
angles: 90.00 90.00 90.00
Space group I-42d (No. 122)
Symmetry-distinct sites (fractional):
Cd  0.000  0.000  0.000 x4
Co  0.205  0.250  0.625 x8
Ge  0.000  0.000  0.500 x4

# 8
Compound: SrAc2LaSe4
Source: Alexandria
Functional: PBE-GGA
Structure: optimized geometry

Properties
As for the raw formation energy: -1.9270 eV/atom. The total energy comes out at -5.523 eV per atom. As for the magnetization: 0.00 μB per formula unit.

abc: 7.662 4.397 7.666
angles: 90.00 109.18 90.00
Space group P2/m (No. 10)
Symmetry-distinct sites (fractional):
Sr  0.000  0.000  0.000 x1
Ac  0.500  0.000  0.500 x1
Ac  0.500  0.500  0.000 x1
La  0.000  0.500  0.500 x1
Se  0.241  0.000  0.747 x2
Se  0.242  0.500  0.249 x2

# 9
Compound: Th2CdCu2Rh5
Source: Alexandria
Functional: PBE-GGA
Structure: optimized geometry

Properties
The total energy comes out at -6.596 eV per atom. The energy of formation from the pure elements comes out at -5.26 eV/f.u. As for the magnetization: 0.00 μB per formula unit.

abc: 9.490 9.490 3.904
angles: 90.00 90.00 90.00
Space group P4/mbm (No. 127)
Symmetry-distinct sites (fractional):
Th  0.178  0.322  0.000 x4
Cd  0.000  0.000  0.000 x2
Cu  0.119  0.619  0.000 x4
Rh  0.000  0.500  0.500 x2
Rh  0.075  0.791  0.500 x8

# 10
Compound: MnZn2Os
Source: Alexandria
Functional: PBE-GGA
Structure: optimized geometry

Properties
The total energy comes out at -5.645 eV per atom. The energy of formation from the pure elements comes out at 0.37 eV/f.u. The polymorph energy (0 for the lowest one) is 59 meV/atom. As for the magnetization: 0.44 μB per formula unit.

abc: 2.6800 2.6800 26.6009
angles: 90.00 90.00 120.00
Space group R3m (No. 160, hexagonal axes)
Symmetry-distinct sites (fractional):
Mn  0.0000  0.0000  0.0000 x3
Zn  0.0000  0.0000  0.5058 x3
Zn  0.0000  0.0000  0.7465 x3
Os  0.0000  0.0000  0.2600 x3

# 11
Compound: CaCuSe2
Source: Alexandria
Functional: PBE-GGA
Structure: optimized geometry

Properties
As for the raw formation energy: -0.2413 eV/atom. The total energy comes out at -3.508 eV per atom. As for the magnetization: 0.00 μB per formula unit.

abc: 3.8087 3.8087 24.6249
angles: 90.00 90.00 120.00
Space group R-3m (No. 166, hexagonal axes)
Symmetry-distinct sites (fractional):
Ca  0.0000  0.0000  0.0000 x3
Cu  0.0000  0.0000  0.5000 x3
Se  0.0000  0.0000  0.1132 x6

# 12
Compound: Ba2AcGe6
Source: Alexandria
Functional: PBE-GGA
Structure: optimized geometry

Properties
The total energy comes out at -4.445 eV per atom. The energy of formation from the pure elements comes out at -4.35 eV/f.u. The polymorph energy (0 for the lowest one) is 0 meV/atom. As for the magnetization: 0.00 μB per formula unit.

abc: 4.748 7.252 16.218
angles: 90.00 90.00 90.00
Space group Immm (No. 71)
Symmetry-distinct sites (fractional):
Ba  0.000  0.000  0.169 x4
Ac  0.000  0.500  0.000 x2
Ge  0.000  0.172  0.365 x8
Ge  0.000  0.328  0.500 x4